1.
# TmSi2Os2

TmSi2Os2 after structural relaxation (PBE-GGA, Alexandria).

a = 4.0737 Å, b = 4.0737 Å, c = 4.9740 Å
α = 90.00°, β = 90.00°, γ = 90.00°
Atoms (fractional coordinates):
Os 0.0000 0.5000 0.5000
Os 0.5000 0.0000 0.5000
Tm 0.0000 0.0000 0.0000
Si 0.5000 0.5000 0.7664
Si 0.5000 0.5000 0.2336

Computed properties:
Density, g/cm³: 12.2
Offset from the most stable computed form, meV/atom: 186
E_form (uncorrected), kJ/mol of formula units: -255

=====

2.
# TmSi3Os

TmSi3Os after structural relaxation (PBE-GGA, Alexandria).

a = 5.8090 Å, b = 5.5359 Å, c = 5.5156 Å
α = 90.00°, β = 90.00°, γ = 77.85°
Atoms (fractional coordinates):
Si 0.3189 0.4892 0.2500
Si 0.2952 0.1006 0.0220
Si 0.2952 0.1006 0.4780
Si 0.6811 0.5108 0.7500
Si 0.7048 0.8994 0.5220
Si 0.7048 0.8994 0.9780
Os 0.0322 0.8715 0.2500
Os 0.9678 0.1285 0.7500
Tm 0.1738 0.5981 0.7500
Tm 0.8262 0.4019 0.2500

Computed properties:
Density, g/cm³: 8.5
E_form (uncorrected), kJ/mol of formula units: -228

=====

3.
# Tm2Si9Os3

Tm2Si9Os3 after structural relaxation (PBE-GGA, Alexandria).

a = 7.4553 Å, b = 7.4553 Å, c = 9.8079 Å
α = 90.04°, β = 112.11°, γ = 120.25°
Atoms (fractional coordinates):
Si 0.4774 0.9184 0.7502
Si 0.1129 0.1386 0.4203
Si 0.7818 0.3075 0.9203
Si 0.4453 0.6382 0.9211
Si 0.2171 0.5242 0.5789
Si 0.7829 0.4758 0.4211
Si 0.5226 0.0816 0.2498
Si 0.3318 0.2727 0.2502
Si 0.1205 0.9769 0.9265
Si 0.4496 0.8059 0.4265
Si 0.8795 0.0231 0.0735
Si 0.8565 0.1065 0.7500
Si 0.8871 0.8614 0.5797
Si 0.6682 0.7273 0.7498
Si 0.2182 0.6925 0.0797
Si 0.1435 0.8935 0.2500
Si 0.5504 0.1941 0.5735
Si 0.5547 0.3618 0.0789
Os 0.8274 0.1645 0.5001
Os 0.8356 0.6726 0.0001
Os 0.1644 0.3274 0.9999
Os 0.5000 0.5000 0.5000
Os 0.1726 0.8355 0.4999
Os 0.5000 0.0000 0.0000
Tm 0.6640 0.7507 0.2505
Tm 0.3360 0.2493 0.7495
Tm 0.0002 0.4135 0.2495
Tm 0.9998 0.5865 0.7505

Computed properties:
Density, g/cm³: 9.1
E_form (uncorrected), kJ/mol of formula units: -564

=====

4.
# Tm2Si3Os2

Tm2Si3Os2 after structural relaxation (PBE-GGA, Alexandria).

a = 4.2876 Å, b = 7.0504 Å, c = 5.7542 Å
α = 123.19°, β = 111.87°, γ = 90.00°
Atoms (fractional coordinates):
Si 0.8526 0.4035 0.7052
Si 0.0000 0.0000 0.0000
Si 0.1474 0.5965 0.2948
Tm 0.4369 0.1954 0.8739
Tm 0.5631 0.8046 0.1261
Os 0.7691 0.6586 0.5382
Os 0.2309 0.3414 0.4618

Computed properties:
Density, g/cm³: 10.2
E_form (uncorrected), kJ/mol of formula units: -442